Material: TaCuHg2
Method: DFT, PBE-GGA
State: relaxed

Cell and atoms, written as extended XYZ:
```
4
Lattice="0.0000 3.3255 3.3255 3.3255 0.0000 3.3255 3.3255 3.3255 0.0000" Properties=species:S:1:pos:R:3 pbc="T T T"
Ta 0.0000 0.0000 0.0000
Cu 3.3255 3.3255 3.3255
Hg 1.6628 1.6628 1.6628
Hg 4.9883 4.9883 4.9883
```

Summary:
DOS at the Fermi energy = 2.33 states/eV/f.u.
ΔE_f = 563 meV per atom
electronic total energy = -14.3 eV per cell
crystal system = cubic



Material: Ac3TiO7
Method: DFT, PBE-GGA
State: relaxed

Cell and atoms, written as extended XYZ:
```
22
Lattice="4.0271 -5.6615 0.0000 4.0271 5.6615 0.0000 0.0000 0.0000 8.0098" Properties=species:S:1:pos:R:3 pbc="T T T"
Ac 0.1243 0.0000 0.0000
Ac 2.1377 2.6440 2.0540
Ac 2.1377 -2.6440 5.9558
Ac 5.9166 2.6440 1.9509
Ac 5.9166 -2.6440 6.0589
Ac 7.9300 0.0000 4.0049
Ti 3.8790 0.0000 4.0049
Ti 4.1753 0.0000 0.0000
O 4.0271 4.1834 6.0074
O 4.0271 4.1496 2.0025
O 2.4447 1.3295 7.8889
O 2.6054 1.3567 4.2424
O 2.4447 -1.3295 0.1209
O 2.6054 -1.3567 3.7674
O 4.0271 0.5382 2.0025
O 4.0271 -0.5382 6.0074
O 5.4489 1.3567 7.7723
O 5.6096 1.3295 4.1258
O 5.4489 -1.3567 0.2375
O 5.6096 -1.3295 3.8840
O 4.0271 -4.1496 6.0074
O 4.0271 -4.1834 2.0025
```

Summary:
DOS at the Fermi energy = 6.03 states/eV/f.u.
E_form (uncorrected) = -3.08 eV per atom
electronic total energy = -177.6 eV per cell
crystal system = orthorhombic



Material: CoHg2Pd9
Method: DFT, PBE-GGA
State: relaxed

Cell and atoms, written as extended XYZ:
```
12
Lattice="3.9836 0.0000 0.0000 0.0000 3.9836 0.0000 0.0000 0.0000 12.0422" Properties=species:S:1:pos:R:3 pbc="T T T"
Co 0.0000 0.0000 0.0000
Hg 0.0000 0.0000 3.9480
Hg 0.0000 0.0000 8.0942
Pd 0.0000 1.9918 1.8362
Pd 0.0000 1.9918 6.0211
Pd 0.0000 1.9918 10.2060
Pd 1.9918 0.0000 1.8362
Pd 1.9918 0.0000 6.0211
Pd 1.9918 0.0000 10.2060
Pd 1.9918 1.9918 0.0000
Pd 1.9918 1.9918 3.9171
Pd 1.9918 1.9918 8.1251
```

Summary:
DOS at the Fermi energy = 18.13 states/eV/f.u.
ΔE_f = -44 meV per atom
electronic total energy = -55.0 eV per cell
crystal system = tetragonal



Material: PbSN
Method: DFT, PBE-GGA
State: relaxed

Cell and atoms, written as extended XYZ:
```
12
Lattice="10.5500 0.0000 0.0000 0.0000 4.2483 0.0000 -0.2263 0.0000 8.4783" Properties=species:S:1:pos:R:3 pbc="T T T"
Pb 1.3788 1.0631 1.0978
Pb 1.2656 1.0611 5.3370
Pb 9.0581 3.1872 3.1413
Pb 8.9450 3.1852 7.3805
S 1.2032 3.1863 3.2127
S 1.0901 3.1861 7.4518
S 9.2337 1.0622 1.0265
S 9.1205 1.0620 5.2656
N 5.0547 0.3541 0.3690
N 4.9416 1.7701 4.6082
N 5.3822 2.4782 3.8701
N 5.2690 3.8942 8.1093
```

Summary:
DOS at the Fermi energy = 0.00 states/eV/f.u.
E_form (uncorrected) = -0.32 eV per atom
electronic total energy = -68.5 eV per cell
crystal system = monoclinic



Material: SiNi6Pt
Method: DFT, PBE-GGA
State: relaxed

Cell and atoms, written as extended XYZ:
```
32
Lattice="3.5701 -5.0699 0.0000 3.5701 5.0699 0.0000 0.0000 0.0000 10.1611" Properties=species:S:1:pos:R:3 pbc="T T T"
Si 0.0000 0.0000 2.5119
Si 0.0000 0.0000 7.6491
Si 3.5701 2.5083 0.0000
Si 3.5701 -2.5083 0.0000
Ni 0.0000 0.0000 0.0000
Ni 0.0000 0.0000 5.0805
Ni 1.7507 1.2853 1.2187
Ni 1.7507 1.2853 8.9424
Ni 1.7249 1.2468 3.7481
Ni 1.7249 1.2468 6.4129
Ni 3.5701 2.5829 2.4410
Ni 3.5701 2.5829 7.7200
Ni 1.7249 -1.2468 3.7481
Ni 1.7249 -1.2468 6.4129
Ni 1.7507 -1.2853 1.2187
Ni 1.7507 -1.2853 8.9424
Ni 3.5701 0.0000 0.0000
Ni 3.5701 0.0000 5.0805
Ni 5.3895 1.2853 1.2187
Ni 5.3895 1.2853 8.9424
Ni 5.4154 1.2468 3.7481
Ni 5.4154 1.2468 6.4129
Ni 3.5701 -2.5829 2.4410
Ni 3.5701 -2.5829 7.7200
Ni 5.4154 -1.2468 3.7481
Ni 5.4154 -1.2468 6.4129
Ni 5.3895 -1.2853 1.2187
Ni 5.3895 -1.2853 8.9424
Pt 3.5701 2.5068 5.0805
Pt 3.5701 0.0000 2.5369
Pt 3.5701 0.0000 7.6242
Pt 3.5701 -2.5068 5.0805
```

Summary:
DOS at the Fermi energy = 11.28 states/eV/f.u.
E_form (uncorrected) = -0.23 eV per atom
electronic total energy = -192.1 eV per cell
crystal system = orthorhombic



Material: MnCuMoRu
Method: DFT, PBE-GGA
State: relaxed

Cell and atoms, written as extended XYZ:
```
4
Lattice="0.0000 3.0115 3.0115 3.0115 0.0000 3.0115 3.0115 3.0115 0.0000" Properties=species:S:1:pos:R:3 pbc="T T T"
Mn 0.0000 0.0000 0.0000
Cu 4.5172 4.5172 4.5172
Mo 1.5057 1.5057 1.5057
Ru 3.0115 3.0115 3.0115
```

Summary:
DOS at the Fermi energy = 3.39 states/eV/f.u.
ΔE_f = 164 meV per atom
electronic total energy = -32.7 eV per cell
crystal system = cubic



Material: Hg5SeS4
Method: DFT, PBE-GGA
State: relaxed

Cell and atoms, written as extended XYZ:
```
20
Lattice="4.2760 0.0000 0.0000 -2.1380 3.7031 0.0000 0.0000 0.0000 34.9853" Properties=species:S:1:pos:R:3 pbc="T T T"
Hg 0.0000 0.0000 0.0000
Hg 0.0000 0.0000 6.8696
Hg 0.0000 0.0000 13.7475
Hg 0.0000 0.0000 20.6226
Hg 0.0000 0.0000 27.8133
Hg 2.1380 1.2344 3.4293
Hg 2.1380 1.2344 10.3088
Hg 2.1380 1.2344 17.1847
Hg 2.1380 1.2344 24.0632
Hg 2.1380 1.2344 31.2433
Se 2.1380 1.2344 26.7848
Se 2.1380 1.2344 33.9526
S 0.0000 0.0000 2.5865
S 0.0000 0.0000 9.4736
S 0.0000 0.0000 16.3575
S 0.0000 0.0000 23.2392
S 0.0000 0.0000 30.4042
S 2.1380 1.2344 6.0306
S 2.1380 1.2344 12.9157
S 2.1380 1.2344 19.7982
```

Summary:
DOS at the Fermi energy = 0.53 states/eV/f.u.
E_form (uncorrected) = -0.14 eV per atom
electronic total energy = -45.8 eV per cell
crystal system = trigonal



Material: KLiNi2
Method: DFT, PBE-GGA
State: relaxed

Cell and atoms, written as extended XYZ:
```
4
Lattice="-1.3699 2.3390 4.9002 1.3699 -2.3390 4.9002 1.3699 2.3390 -4.9002" Properties=species:S:1:pos:R:3 pbc="T T T"
K 0.0000 0.0000 0.0000
Li 0.0000 0.0000 4.9002
Ni 1.3699 0.0000 2.6740
Ni 0.0000 2.3390 2.2262
```

Summary:
DOS at the Fermi energy = 3.31 states/eV/f.u.
ΔE_f = 618 meV per atom
electronic total energy = -12.1 eV per cell
crystal system = orthorhombic
polymorph energy (0 for the lowest one) = 1.037 eV/f.u.



Material: Cs7NaO2
Method: DFT, PBE-GGA
State: relaxed

Cell and atoms, written as extended XYZ:
```
10
Lattice="4.4369 -11.5902 0.0000 4.4369 11.5902 0.0000 0.0000 0.0000 5.8874" Properties=species:S:1:pos:R:3 pbc="T T T"
Cs 0.0000 0.0000 0.0000
Cs 2.4800 3.8730 0.0000
Cs 4.4369 6.4736 2.9437
Cs 2.4800 -3.8730 0.0000
Cs 6.3938 3.8730 0.0000
Cs 4.4369 -6.4736 2.9437
Cs 6.3938 -3.8730 0.0000
Na 4.4369 0.0000 2.9437
O 4.4369 5.9177 0.0000
O 4.4369 -5.9177 0.0000
```

Summary:
DOS at the Fermi energy = 4.73 states/eV/f.u.
E_form (uncorrected) = -0.53 eV per atom
electronic total energy = -22.5 eV per cell
crystal system = orthorhombic



Material: VCdOs3
Method: DFT, PBE-GGA
State: relaxed

Cell and atoms, written as extended XYZ:
```
5
Lattice="4.7666 0.0000 0.0000 0.0000 4.7666 0.0000 0.0000 0.0000 4.7666" Properties=species:S:1:pos:R:3 pbc="T T T"
V 0.0000 0.0000 0.0000
Cd 2.3833 2.3833 2.3833
Os 0.0000 2.3833 2.3833
Os 2.3833 0.0000 2.3833
Os 2.3833 2.3833 0.0000
```

Summary:
DOS at the Fermi energy = 7.42 states/eV/f.u.
ΔE_f = 3052 meV per atom
electronic total energy = -28.5 eV per cell
crystal system = cubic
polymorph energy (0 for the lowest one) = 7.487 eV/f.u.



Question: Number 7 is which compound?
Answer: Hg5SeS4



Copy entry 7 word for word.
Material: Hg5SeS4
Method: DFT, PBE-GGA
State: relaxed

Cell and atoms, written as extended XYZ:
```
20
Lattice="4.2760 0.0000 0.0000 -2.1380 3.7031 0.0000 0.0000 0.0000 34.9853" Properties=species:S:1:pos:R:3 pbc="T T T"
Hg 0.0000 0.0000 0.0000
Hg 0.0000 0.0000 6.8696
Hg 0.0000 0.0000 13.7475
Hg 0.0000 0.0000 20.6226
Hg 0.0000 0.0000 27.8133
Hg 2.1380 1.2344 3.4293
Hg 2.1380 1.2344 10.3088
Hg 2.1380 1.2344 17.1847
Hg 2.1380 1.2344 24.0632
Hg 2.1380 1.2344 31.2433
Se 2.1380 1.2344 26.7848
Se 2.1380 1.2344 33.9526
S 0.0000 0.0000 2.5865
S 0.0000 0.0000 9.4736
S 0.0000 0.0000 16.3575
S 0.0000 0.0000 23.2392
S 0.0000 0.0000 30.4042
S 2.1380 1.2344 6.0306
S 2.1380 1.2344 12.9157
S 2.1380 1.2344 19.7982
```

Summary:
DOS at the Fermi energy = 0.53 states/eV/f.u.
E_form (uncorrected) = -0.14 eV per atom
electronic total energy = -45.8 eV per cell
crystal system = trigonal



Copy entry 10 word for word.
Material: VCdOs3
Method: DFT, PBE-GGA
State: relaxed

Cell and atoms, written as extended XYZ:
```
5
Lattice="4.7666 0.0000 0.0000 0.0000 4.7666 0.0000 0.0000 0.0000 4.7666" Properties=species:S:1:pos:R:3 pbc="T T T"
V 0.0000 0.0000 0.0000
Cd 2.3833 2.3833 2.3833
Os 0.0000 2.3833 2.3833
Os 2.3833 0.0000 2.3833
Os 2.3833 2.3833 0.0000
```

Summary:
DOS at the Fermi energy = 7.42 states/eV/f.u.
ΔE_f = 3052 meV per atom
electronic total energy = -28.5 eV per cell
crystal system = cubic
polymorph energy (0 for the lowest one) = 7.487 eV/f.u.



Question: Among the records above, which one has the lowest DOS at the Fermi energy?
Answer: PbSN